1.
Sr2Pr2Tl2Cu3O10 | the Alexandria database | PBE-GGA | relaxed; formation energy (no corrections) = -39.9 kcal/mol of atoms; calculated total energy = -5.914 eV per atom; crystal system = tetragonal; space-group type = I4/mmm
1.0
-1.969 1.969 17.825
1.969 -1.969 17.825
1.969 1.969 -17.825
Sr Pr Tl Cu O
2 2 2 3 10
direct
0.147 0.147 0.000
0.853 0.853 0.000
0.049 0.049 0.000
0.951 0.951 0.000
0.281 0.281 0.000
0.719 0.719 0.000
0.405 0.405 0.000
0.500 0.500 0.000
0.595 0.595 0.000
0.000 0.500 0.500
0.090 0.590 0.500
0.219 0.219 0.000
0.342 0.342 0.000
0.410 0.910 0.500
0.500 0.000 0.500
0.590 0.090 0.500
0.658 0.658 0.000
0.781 0.781 0.000
0.910 0.410 0.500

=====

2.
Pr2CuTeO6 | the Alexandria database | PBE-GGA | relaxed; formation energy (no corrections) = -46.0 kcal/mol of atoms; calculated total energy = -6.649 eV per atom; crystal system = trigonal; space-group type = R3
1.0
2.930 1.691 4.757
-2.930 1.691 4.757
0.000 -3.383 4.757
Pr Cu Te O
2 1 1 6
direct
0.000 0.000 0.000
0.496 0.496 0.496
0.227 0.227 0.227
0.726 0.726 0.726
0.074 0.449 0.873
0.380 0.936 0.583
0.449 0.873 0.074
0.583 0.380 0.936
0.873 0.074 0.449
0.936 0.583 0.380

=====

3.
Pr2CuTe2O2 | the Alexandria database | PBE-GGA | relaxed; formation energy (no corrections) = -41.9 kcal/mol of atoms; calculated total energy = -6.081 eV per atom; crystal system = trigonal; space-group type = P-3m1
1.0
4.043 0.000 0.000
-2.021 3.501 0.000
0.000 0.000 12.518
Pr Cu Te O
2 1 2 2
direct
0.333 0.667 0.122
0.667 0.333 0.878
0.000 0.000 0.500
0.000 0.000 0.307
0.000 0.000 0.693
0.333 0.667 0.927
0.667 0.333 0.073

=====

4.
PrTi4Cu3O12 | the Alexandria database | PBE-GGA | relaxed; formation energy (no corrections) = -54.6 kcal/mol of atoms; calculated total energy = -7.775 eV per atom; crystal system = cubic; space-group type = Im-3
1.0
-3.757 3.757 3.757
3.757 -3.757 3.757
3.757 3.757 -3.757
Pr Ti Cu O
1 4 3 12
direct
0.000 0.000 0.000
0.000 0.000 0.500
0.000 0.500 0.000
0.500 0.000 0.000
0.500 0.500 0.500
0.000 0.500 0.500
0.500 0.000 0.500
0.500 0.500 0.000
0.120 0.822 0.298
0.178 0.298 0.477
0.178 0.702 0.880
0.298 0.120 0.822
0.298 0.477 0.178
0.477 0.178 0.298
0.523 0.822 0.702
0.702 0.523 0.822
0.702 0.880 0.178
0.822 0.298 0.120
0.822 0.702 0.523
0.880 0.178 0.702

=====

5.
PrTl4Cu3O12 | the Alexandria database | PBE-GGA | relaxed; formation energy (no corrections) = -18.5 kcal/mol of atoms; calculated total energy = -5.104 eV per atom; crystal system = cubic; space-group type = Im-3
1.0
-4.044 4.044 4.044
4.044 -4.044 4.044
4.044 4.044 -4.044
Pr Tl Cu O
1 4 3 12
direct
0.000 0.000 0.000
0.000 0.000 0.500
0.000 0.500 0.000
0.500 0.000 0.000
0.500 0.500 0.500
0.000 0.500 0.500
0.500 0.000 0.500
0.500 0.500 0.000
0.149 0.468 0.319
0.149 0.830 0.681
0.170 0.319 0.851
0.319 0.149 0.468
0.319 0.851 0.170
0.468 0.319 0.149
0.532 0.681 0.851
0.681 0.149 0.830
0.681 0.851 0.532
0.830 0.681 0.149
0.851 0.170 0.319
0.851 0.532 0.681

=====

6.
Pr2TlCuO5 | the Alexandria database | PBE-GGA | relaxed; formation energy (no corrections) = -47.3 kcal/mol of atoms; calculated total energy = -6.584 eV per atom; crystal system = tetragonal; space-group type = P4/mbm
1.0
6.908 0.000 0.000
0.000 6.908 0.000
0.000 0.000 5.709
Pr Tl Cu O
4 2 2 10
direct
0.178 0.322 0.000
0.322 0.822 0.000
0.678 0.178 0.000
0.822 0.678 0.000
0.000 0.000 0.500
0.500 0.500 0.500
0.000 0.500 0.500
0.500 0.000 0.500
0.000 0.000 0.000
0.126 0.626 0.256
0.126 0.626 0.744
0.374 0.126 0.256
0.374 0.126 0.744
0.500 0.500 0.000
0.626 0.874 0.256
0.626 0.874 0.744
0.874 0.374 0.256
0.874 0.374 0.744

=====

7.
PrTlCu2O5 | the Alexandria database | PBE-GGA | relaxed; formation energy (no corrections) = -27.6 kcal/mol of atoms; calculated total energy = -5.656 eV per atom; crystal system = tetragonal; space-group type = P4/mmm
1.0
3.849 0.000 0.000
0.000 3.849 0.000
0.000 0.000 8.074
Pr Tl Cu O
1 1 2 5
direct
0.000 0.000 0.000
0.000 0.000 0.500
0.500 0.500 0.244
0.500 0.500 0.756
0.000 0.500 0.191
0.000 0.500 0.809
0.500 0.000 0.191
0.500 0.000 0.809
0.500 0.500 0.500

=====

8.
PrUCu2O8 | the Alexandria database | PBE-GGA | relaxed; formation energy (no corrections) = -39.9 kcal/mol of atoms; calculated total energy = -7.058 eV per atom; crystal system = tetragonal; space-group type = I-4
1.0
-2.665 2.665 5.262
2.665 -2.665 5.262
2.665 2.665 -5.262
Pr U Cu O
1 1 2 8
direct
0.000 0.000 0.000
0.250 0.750 0.500
0.500 0.500 0.000
0.750 0.250 0.500
0.017 0.387 0.978
0.224 0.452 0.582
0.358 0.776 0.228
0.410 0.039 0.022
0.548 0.130 0.772
0.613 0.590 0.629
0.870 0.642 0.418
0.961 0.983 0.371